Density functional theory data (GGA-PBEsol) for a relaxed Mn2CoRh crystal.

Results
The value obtained for the energy of formation is 0.04 eV per atom. The mass density is 10.20 g/cm³. As for the distance to the lowest polymorph of the same formula: 58.5 meV per atom. For the magnetization, the calculation gives 0.0 Bohr magnetons per cell.

POSCAR file:
```
Mn2CoRh
1.0
2.5148 0.0000 0.0000
0.0000 3.5207 0.0000
0.0000 0.0000 4.9938
Mn Co Rh
2 1 1
Direct
0.0000 0.0000 0.2220
0.0000 0.0000 0.7780
0.5000 0.5000 0.0000
0.5000 0.5000 0.5000
```